## Ba6AsPt (PBE)

Data for Ba6AsPt after structural relaxation.

Properties
Energy of formation from the pure elements (eV/atom): -0.53
Calculated total energy (eV per atom): -3.307

Unit cell a=7.9570 b=7.9570 c=15.2895 alpha=90.00 beta=90.00 gamma=120.00
Space group P-31c (No. 163)
Symmetry-distinct sites (fractional):
Ba: 0.0126 0.3393 0.1266 x12
As: 0.0000 0.0000 0.0000 x2
Pt: 0.3333 0.6667 0.2500 x2